Record 1
VASP calculation (PBE-GGA) on crystalline Sc2Al2Se at its relaxed geometry.

Cell lengths 4.4757, 4.4757, 11.9708 Å; angles 90.00, 90.00, 90.00 degrees
Space group I4/mmm (No. 139)
Inequivalent atoms, fractional coordinates:
Sc  0.0000  0.5000  0.2500 [4 per cell]
Al  0.0000  0.0000  0.1008 [4 per cell]
Se  0.0000  0.0000  0.5000 [2 per cell]

Summary:
Magnetic moment   0.00 μB/f.u.
DOS at the Fermi energy   4.92 states/eV per cell
Offset from the most stable computed form   804 meV per atom
ΔE_f (raw)   0.21 eV/atom

Record 2
VASP calculation (PBE-GGA) on crystalline Sc2AlSe at its relaxed geometry.

Cell lengths 3.7939, 5.3683, 8.1231 Å; angles 90.00, 90.00, 90.00 degrees
Space group Immm (No. 71)
Inequivalent atoms, fractional coordinates:
Sc  0.0000  0.0000  0.2341 [4 per cell]
Al  0.0000  0.5000  0.0000 [2 per cell]
Se  0.0000  0.5000  0.5000 [2 per cell]

Summary:
Magnetic moment   0.00 μB/f.u.
DOS at the Fermi energy   6.00 states/eV per cell
Offset from the most stable computed form   291 meV per atom
ΔE_f (raw)   -0.63 eV/atom

Record 3
VASP calculation (PBE-GGA) on crystalline ScAlSe at its relaxed geometry.

Cell lengths 6.5898, 6.5898, 6.5898 Å; angles 90.00, 90.00, 90.00 degrees
Space group F-43m (No. 216)
Inequivalent atoms, fractional coordinates:
Sc  0.0000  0.0000  0.0000 [4 per cell]
Al  0.2500  0.2500  0.7500 [4 per cell]
Se  0.2500  0.2500  0.2500 [4 per cell]

Summary:
Magnetic moment   0.00 μB/f.u.
DOS at the Fermi energy   14.71 states/eV per cell
Offset from the most stable computed form   700 meV per atom
ΔE_f (raw)   -0.17 eV/atom

Record 4
VASP calculation (PBE-GGA) on crystalline ScAlSe at its relaxed geometry.

Cell lengths 3.4919, 3.4919, 10.9205 Å; angles 90.00, 90.00, 90.00 degrees
Space group I4mm (No. 107)
Inequivalent atoms, fractional coordinates:
Sc  0.0000  0.0000  0.0000 [2 per cell]
Al  0.0000  0.0000  0.6537 [2 per cell]
Se  0.0000  0.0000  0.3970 [2 per cell]

Summary:
Magnetic moment   0.00 μB/f.u.
DOS at the Fermi energy   2.25 states/eV per cell
Offset from the most stable computed form   174 meV per atom
ΔE_f (raw)   -0.70 eV/atom

Record 5
VASP calculation (PBE-GGA) on crystalline ScAl2Se at its relaxed geometry.

Cell lengths 7.7782, 7.7782, 5.4249 Å; angles 90.00, 90.00, 90.00 degrees
Space group I-42d (No. 122)
Inequivalent atoms, fractional coordinates:
Sc  0.0000  0.0000  0.0000 [4 per cell]
Al  0.2223  0.2500  0.6250 [8 per cell]
Se  0.0000  0.0000  0.5000 [4 per cell]

Summary:
Magnetic moment   0.00 μB/f.u.
DOS at the Fermi energy   12.19 states/eV per cell
ΔE_f (raw)   -0.25 eV/atom

Record 6
VASP calculation (PBE-GGA) on crystalline Sc2AlSe at its relaxed geometry.

Cell lengths 4.5053, 4.5053, 7.8432 Å; angles 90.00, 90.00, 90.00 degrees
Space group I4/mmm (No. 139)
Inequivalent atoms, fractional coordinates:
Sc  0.0000  0.5000  0.2500 [4 per cell]
Al  0.0000  0.0000  0.0000 [2 per cell]
Se  0.0000  0.0000  0.5000 [2 per cell]

Summary:
Magnetic moment   0.00 μB/f.u.
DOS at the Fermi energy   7.64 states/eV per cell
Offset from the most stable computed form   365 meV per atom
ΔE_f (raw)   -0.56 eV/atom

Record 7
VASP calculation (PBE-GGA) on crystalline ScAlSe at its relaxed geometry.

Cell lengths 3.5335, 3.5335, 5.8659 Å; angles 90.00, 90.00, 120.00 degrees
Space group P3m1 (No. 156)
Inequivalent atoms, fractional coordinates:
Sc  0.0000  0.0000  0.0000 [1 per cell]
Al  0.3333  0.6667  0.6265 [1 per cell]
Se  0.6667  0.3333  0.3021 [1 per cell]

Summary:
Magnetic moment   0.00 μB/f.u.
DOS at the Fermi energy   3.10 states/eV per cell
Offset from the most stable computed form   281 meV per atom
ΔE_f (raw)   -0.59 eV/atom

Record 8
VASP calculation (PBE-GGA) on crystalline Sc2AlSe at its relaxed geometry.

Cell lengths 7.4435, 7.4435, 6.2425 Å; angles 90.00, 90.00, 90.00 degrees
Space group I-42d (No. 122)
Inequivalent atoms, fractional coordinates:
Sc  0.2301  0.2500  0.1250 [8 per cell]
Al  0.0000  0.0000  0.5000 [4 per cell]
Se  0.0000  0.0000  0.0000 [4 per cell]

Summary:
Magnetic moment   0.74 μB/f.u.
DOS at the Fermi energy   11.80 states/eV per cell
Offset from the most stable computed form   356 meV per atom
ΔE_f (raw)   -0.57 eV/atom

Record 9
VASP calculation (PBE-GGA) on crystalline ScAl2Se at its relaxed geometry.

Cell lengths 3.5685, 3.5685, 5.9361 Å; angles 90.00, 90.00, 90.00 degrees
Space group P4/mmm (No. 123)
Inequivalent atoms, fractional coordinates:
Sc  0.0000  0.0000  0.0000 [1 per cell]
Al  0.5000  0.5000  0.2563 [2 per cell]
Se  0.0000  0.0000  0.5000 [1 per cell]

Summary:
Magnetic moment   0.00 μB/f.u.
DOS at the Fermi energy   2.12 states/eV per cell
ΔE_f (raw)   -0.28 eV/atom

Record 10
VASP calculation (PBE-GGA) on crystalline ScAl2Se at its relaxed geometry.

Cell lengths 9.6683, 3.5221, 4.8761 Å; angles 90.00, 108.97, 90.00 degrees
Space group Cm (No. 8)
Inequivalent atoms, fractional coordinates:
Sc  0.0000  0.0000  0.0000 [2 per cell]
Al  0.0381  0.5000  0.5539 [2 per cell]
Al  0.2849  0.5000  0.4086 [2 per cell]
Se  0.2826  0.0000  0.0104 [2 per cell]

Summary:
Magnetic moment   0.00 μB/f.u.
DOS at the Fermi energy   3.81 states/eV per cell
ΔE_f (raw)   -0.48 eV/atom

Record 11
VASP calculation (PBE-GGA) on crystalline Sc2AlSe at its relaxed geometry.

Cell lengths 3.4544, 3.4544, 25.6520 Å; angles 90.00, 90.00, 120.00 degrees
Space group R3m (No. 160, hexagonal axes)
Inequivalent atoms, fractional coordinates:
Sc  0.0000  0.0000  0.0000 [3 per cell]
Sc  0.0000  0.0000  0.2338 [3 per cell]
Al  0.0000  0.0000  0.7566 [3 per cell]
Se  0.0000  0.0000  0.4932 [3 per cell]

Summary:
Magnetic moment   1.20 μB/f.u.
DOS at the Fermi energy   10.35 states/eV per cell
Offset from the most stable computed form   505 meV per atom
ΔE_f (raw)   -0.42 eV/atom

Record 12
VASP calculation (PBE-GGA) on crystalline ScAlSe3 at its relaxed geometry.

Cell lengths 5.1862, 5.1862, 5.1862 Å; angles 90.00, 90.00, 90.00 degrees
Space group Pm-3m (No. 221)
Inequivalent atoms, fractional coordinates:
Sc  0.0000  0.0000  0.0000 [1 per cell]
Al  0.5000  0.5000  0.5000 [1 per cell]
Se  0.0000  0.0000  0.5000 [3 per cell]

Summary:
Magnetic moment   0.00 μB/f.u.
DOS at the Fermi energy   9.01 states/eV per cell
Offset from the most stable computed form   928 meV per atom
ΔE_f (raw)   -0.36 eV/atom

Record 13
VASP calculation (PBE-GGA) on crystalline ScAlSe3 at its relaxed geometry.

Cell lengths 7.3843, 10.5902, 6.6024 Å; angles 90.00, 90.00, 90.00 degrees
Space group Pnma (No. 62)
Inequivalent atoms, fractional coordinates:
Sc  0.0000  0.0000  0.0000 [4 per cell]
Al  0.1759  0.2500  0.4640 [4 per cell]
Se  0.0080  0.2500  0.1424 [4 per cell]
Se  0.1837  0.0635  0.6584 [8 per cell]

Summary:
Magnetic moment   0.00 μB/f.u.
Offset from the most stable computed form   129 meV per atom
ΔE_f (raw)   -1.15 eV/atom

Record 14
VASP calculation (PBE-GGA) on crystalline Sc2AlSe at its relaxed geometry.

Cell lengths 6.1164, 7.6736, 3.3741 Å; angles 90.00, 90.00, 90.00 degrees
Space group Cmmm (No. 65)
Inequivalent atoms, fractional coordinates:
Sc  0.2500  0.2500  0.0000 [4 per cell]
Al  0.0000  0.0000  0.5000 [2 per cell]
Se  0.0000  0.5000  0.5000 [2 per cell]

Summary:
Magnetic moment   0.11 μB/f.u.
DOS at the Fermi energy   8.34 states/eV per cell
Offset from the most stable computed form   256 meV per atom
ΔE_f (raw)   -0.67 eV/atom

Record 15
VASP calculation (PBE-GGA) on crystalline ScAl2Se4 at its relaxed geometry.

Cell lengths 7.6893, 7.6893, 6.3848 Å; angles 90.00, 90.00, 90.00 degrees
Space group I4/m (No. 87)
Inequivalent atoms, fractional coordinates:
Sc  0.0000  0.0000  0.0000 [2 per cell]
Al  0.0000  0.5000  0.2500 [4 per cell]
Se  0.1606  0.6760  0.0000 [8 per cell]

Summary:
Magnetic moment   1.01 μB/f.u.
DOS at the Fermi energy   4.10 states/eV per cell
Offset from the most stable computed form   0 meV per atom
ΔE_f (raw)   -0.89 eV/atom

Record 16
VASP calculation (PBE-GGA) on crystalline ScAl2Se at its relaxed geometry.

Cell lengths 6.7608, 6.7608, 6.7608 Å; angles 90.00, 90.00, 90.00 degrees
Space group F-43m (No. 216)
Inequivalent atoms, fractional coordinates:
Sc  0.0000  0.0000  0.0000 [4 per cell]
Al  0.0000  0.0000  0.5000 [4 per cell]
Al  0.2500  0.2500  0.2500 [4 per cell]
Se  0.2500  0.2500  0.7500 [4 per cell]

Summary:
Magnetic moment   0.00 μB/f.u.
DOS at the Fermi energy   7.48 states/eV per cell
ΔE_f (raw)   -0.21 eV/atom

Record 17
VASP calculation (PBE-GGA) on crystalline Sc2AlSe at its relaxed geometry.

Cell lengths 3.2753, 3.2733, 7.4228 Å; angles 90.00, 90.08, 90.00 degrees
Space group P2/m (No. 10)
Inequivalent atoms, fractional coordinates:
Sc  0.9996  0.0000  0.2340 [2 per cell]
Al  0.5000  0.5000  0.5000 [1 per cell]
Se  0.5000  0.5000  0.0000 [1 per cell]

Summary:
Magnetic moment   0.00 μB/f.u.
DOS at the Fermi energy   3.69 states/eV per cell
Offset from the most stable computed form   146 meV per atom
ΔE_f (raw)   -0.78 eV/atom

Record 18
VASP calculation (PBE-GGA) on crystalline ScAl2Se4 at its relaxed geometry.

Cell lengths 5.3393, 5.3393, 12.2673 Å; angles 90.00, 90.00, 90.00 degrees
Space group I4/mmm (No. 139)
Inequivalent atoms, fractional coordinates:
Sc  0.0000  0.0000  0.0000 [2 per cell]
Al  0.0000  0.0000  0.3983 [4 per cell]
Se  0.0000  0.0000  0.2143 [4 per cell]
Se  0.0000  0.5000  0.0000 [4 per cell]

Summary:
Magnetic moment   0.00 μB/f.u.
DOS at the Fermi energy   9.04 states/eV per cell
Offset from the most stable computed form   326 meV per atom
ΔE_f (raw)   -0.56 eV/atom

Record 19
VASP calculation (PBE-GGA) on crystalline Sc2AlSe at its relaxed geometry.

Cell lengths 3.6691, 4.1896, 5.5898 Å; angles 90.00, 90.00, 90.00 degrees
Space group Pmmm (No. 47)
Inequivalent atoms, fractional coordinates:
Sc  0.0000  0.0000  0.0000 [1 per cell]
Sc  0.5000  0.5000  0.5000 [1 per cell]
Al  0.0000  0.0000  0.5000 [1 per cell]
Se  0.5000  0.5000  0.0000 [1 per cell]

Summary:
Magnetic moment   0.00 μB/f.u.
DOS at the Fermi energy   2.01 states/eV per cell
Offset from the most stable computed form   122 meV per atom
ΔE_f (raw)   -0.80 eV/atom

Record 20
VASP calculation (PBE-GGA) on crystalline Sc2Al2Se at its relaxed geometry.

Cell lengths 6.9507, 6.9507, 4.4227 Å; angles 90.00, 90.00, 90.00 degrees
Space group P4/mbm (No. 127)
Inequivalent atoms, fractional coordinates:
Sc  0.1638  0.3362  0.0000 [4 per cell]
Al  0.1348  0.6348  0.5000 [4 per cell]
Se  0.0000  0.0000  0.0000 [2 per cell]

Summary:
Magnetic moment   0.00 μB/f.u.
DOS at the Fermi energy   4.40 states/eV per cell
Offset from the most stable computed form   0 meV per atom
ΔE_f (raw)   -0.59 eV/atom